i | LiMg3In2: relaxed, GGA-PBE.

```
6
Lattice="-0.4292 3.0769 0.6074 0.5477 -0.8851 4.8710 8.4026 1.3115 -0.7065" Properties=species:S:1:pos:R:3 pbc="T T T"
Li 2.8241 1.5274 2.5067
Mg 6.8138 2.6355 -0.2873
Mg 1.2670 1.7697 0.1791
Mg 5.5781 1.9573 2.2751
In 0.2878 -0.4404 2.4343
In 4.1989 0.6554 -0.3531
```

Properties
- DOS(E_F): 2.5 states/eV/cell



ii | LiMg3In2: relaxed, GGA-PBE.

```
6
Lattice="-4.0424 -0.0965 -1.7929 0.7725 -4.1108 -1.5204 -2.8542 -0.5176 6.4631" Properties=species:S:1:pos:R:3 pbc="T T T"
Li 0.0000 0.0000 0.0000
Mg -2.8408 -0.9027 0.9973
Mg -1.6350 -2.1036 -1.6567
Mg -3.2834 -3.8222 2.1524
In -0.4164 -2.8922 1.0945
In -1.6653 -1.7362 3.8482
```

Properties
- DOS(E_F): 2.3 states/eV/cell



The structure with the greatest stability is ii.



i | LiMg2In6: relaxed, GGA-PBE.

```
9
Lattice="-1.1212 -2.9743 0.8272 -0.0731 0.8043 9.3128 -7.1947 2.4164 5.4570" Properties=species:S:1:pos:R:3 pbc="T T T"
Li -4.1945 0.1232 7.7985
Mg -1.4525 -0.5882 2.4367
Mg -6.9365 0.8346 13.1603
In -1.2873 0.2406 5.6406
In -7.1017 0.0058 9.9564
In -4.5545 -0.5708 11.3356
In -5.8718 2.1169 6.1732
In -1.3960 1.1037 8.5966
In -3.8345 0.8172 4.2615
```

Properties
- DOS(E_F): 4.7 states/eV/cell



ii | LiMg2In6: relaxed, GGA-PBE.

```
9
Lattice="-3.2114 -3.0759 -0.8764 3.0792 -1.3078 -6.6932 4.0054 -2.7680 6.5662" Properties=species:S:1:pos:R:3 pbc="T T T"
Li 0.0000 0.0000 0.0000
Mg 1.0840 -3.6456 -2.9717
Mg 2.7892 -3.5061 1.9682
In 1.9934 -1.9451 -0.5433
In 0.1555 -4.4742 3.2880
In 1.8798 -5.2066 -0.4601
In -0.9656 -1.8098 -1.8296
In 3.7177 -2.6775 -4.2914
In 0.8334 -2.5739 -5.7400
```

Properties
- DOS(E_F): 3.8 states/eV/cell



The structure with the greatest stability is i.



i | Li2Mg2In5: relaxed, GGA-PBE.

```
18
Lattice="-4.9460 1.6121 -1.8994 3.8197 0.6668 -9.3802 -1.2703 -8.2387 4.3886" Properties=species:S:1:pos:R:3 pbc="T T T"
Li 0.5185 -5.2698 -1.7930
Li -1.7817 -0.4920 -7.8815
Li 2.4325 -4.9378 -6.4815
Li -3.6957 -0.8241 -3.1930
Mg 3.4323 0.5992 -8.4290
Mg -0.9505 1.0719 -4.6886
Mg 0.3234 -2.7150 -7.1778
Mg -1.5897 -3.0474 -2.4890
In -2.3205 -5.8934 -2.9972
In 1.0600 0.1321 -6.6838
In -4.2298 -6.2271 1.6931
In -0.8504 -0.2011 -1.9939
In 0.0584 -4.9010 -4.7020
In -3.2300 -1.1940 -0.2860
In -4.0854 -4.5063 -0.8698
In 0.9139 -1.5887 -4.1182
In -1.0146 -3.7124 0.4413
In -2.1599 -2.3831 -5.4221
```

Properties
- DOS(E_F): 7.0 states/eV/cell



ii | Li2Mg2In5: relaxed, GGA-PBE.

```
18
Lattice="-3.3410 -6.2250 2.1695 5.8113 -3.8382 -2.0638 0.1988 2.7566 8.2157" Properties=species:S:1:pos:R:3 pbc="T T T"
Li 2.8779 -7.2898 -0.3938
Li -0.4076 -2.7735 0.4995
Li 3.2388 -3.3123 -1.0135
Li -0.7685 -6.7509 1.1192
Mg 1.3204 0.3562 3.0556
Mg 2.5556 -4.6754 3.1084
Mg 4.6897 -1.4378 3.0963
Mg 0.1135 -2.6312 5.2130
In 0.0000 0.0000 0.0000
In 1.2351 -5.0316 0.0528
In 1.8168 -7.5545 2.2831
In 2.2286 -2.0838 1.4674
In 4.5292 -5.1302 0.8283
In -0.4839 -4.5081 2.9222
In 0.8524 0.2479 6.0383
In 0.4405 -5.2228 6.8541
In -1.8601 -2.1764 7.4931
In 3.1530 -2.7985 5.3992
```

Properties
- DOS(E_F): 7.9 states/eV/cell



The structure with the greatest stability is i.



i | Li3Mg2In2: relaxed, GGA-PBE.

```
7
Lattice="-2.1916 1.6453 -1.5018 -3.0906 -3.3462 0.8443 -1.0690 6.3404 8.5062" Properties=species:S:1:pos:R:3 pbc="T T T"
Li -3.0135 -0.1856 0.9430
Li -3.3377 4.8251 6.9057
Li 0.0000 0.0000 0.0000
Mg -3.7284 1.0907 3.3845
Mg -2.6228 3.5488 4.4642
In -3.4154 1.6657 6.8090
In -0.7442 1.3286 2.5415
```

Properties
- DOS(E_F): 2.8 states/eV/cell



ii | Li3Mg2In2: relaxed, GGA-PBE.

```
7
Lattice="4.6234 0.0000 -1.3503 -1.0916 6.3711 -3.7375 -0.5038 -3.0337 6.8652" Properties=species:S:1:pos:R:3 pbc="T T T"
Li -0.5458 3.1855 -1.8688
Li 1.5840 5.4069 -3.1665
Li 1.4439 -2.0695 4.9439
Mg 0.0992 1.4798 0.3398
Mg 2.9287 1.8576 1.4375
In 0.7780 -0.3148 2.6638
In 2.2500 3.6521 -0.8864
```

Properties
- DOS(E_F): 2.3 states/eV/cell



The structure with the greatest stability is ii.